No. 1
! Y2NiRu3 | the Alexandria database | SCAN | PBEsol geometry; values from VASP
&SYSTEM
  ibrav = 0, nat = 6, ntyp = 3
/
ATOMIC_SPECIES
Y 88.91 Y.upf
Ni 58.69 Ni.upf
Ru 101.07 Ru.upf
CELL_PARAMETERS angstrom
2.590 1.495 4.283
-2.590 1.495 4.283
0.000 -2.990 4.283
ATOMIC_POSITIONS crystal
Y 0.123 0.123 0.123
Y 0.877 0.877 0.877
Ni 0.500 0.500 0.500
Ru 0.000 0.500 0.500
Ru 0.500 0.000 0.500
Ru 0.500 0.500 0.000
! - Space-group type: R-3m

=====

No. 2
! Tb3Y | the Alexandria database | SCAN | PBEsol geometry; values from VASP
&SYSTEM
  ibrav = 0, nat = 4, ntyp = 2
/
ATOMIC_SPECIES
Tb 158.93 Tb.upf
Y 88.91 Y.upf
CELL_PARAMETERS angstrom
4.936 0.000 0.000
0.000 4.936 0.000
0.000 0.000 4.936
ATOMIC_POSITIONS crystal
Tb 0.000 0.000 0.500
Tb 0.000 0.500 0.000
Tb 0.500 0.000 0.000
Y 0.500 0.500 0.500
! - Space-group type: Pm-3m

=====

no.,E_tot (eV per atom),volume (Å³ per cell),size of the total moment (μB/f.u.)
1,-29.8048,99,0.000
2,-42.0055,120,0.000